[1]
Below is an optimized crystal structure of CaTh4Sb6, with properties calculated at the GGA-PBE level.

```
CaTh4Sb6
1.0
6.183 3.570 5.128
-6.183 3.570 5.128
0.000 -7.139 5.128
Ca Th Sb
2 8 12
Cartesian
0.000 0.000 0.000
0.000 0.000 7.693
-3.755 0.635 6.411
0.000 0.000 3.846
-2.428 -2.934 8.975
1.327 -3.570 6.411
-1.327 3.570 8.975
2.428 2.934 6.411
0.000 0.000 11.539
3.755 -0.635 8.975
-5.308 -1.276 8.495
-1.549 -5.235 6.890
-1.549 -1.905 5.931
-3.759 3.959 6.890
-0.875 2.294 5.931
-2.424 0.389 9.454
2.424 -0.389 5.931
0.875 -2.294 9.454
3.759 -3.959 8.495
1.549 1.905 9.454
1.549 5.235 8.495
5.308 1.276 6.890
```

Properties
As for the density of states at the Fermi level: 3.9 states/eV/f.u. For the raw formation energy, the calculation gives -0.79 eV per atom. The value obtained for the density is 8.3 g cm⁻³.


[2]
Below is an optimized crystal structure of CaTh3Sb4, with properties calculated at the GGA-PBE level.

```
CaTh3Sb4
1.0
4.513 -6.380 0.000
4.513 6.380 0.000
0.000 0.000 4.513
Ca Th Sb
1 3 4
Cartesian
0.000 0.000 0.000
2.257 3.190 2.256
2.257 -3.190 2.256
4.513 0.000 0.000
4.513 3.199 0.000
2.258 0.000 2.256
6.769 0.000 2.256
4.513 -3.199 0.000
```

Properties
As for the density of states at the Fermi level: 4.2 states/eV/f.u. For the raw formation energy, the calculation gives -0.96 eV per atom. The value obtained for the density is 7.8 g cm⁻³.


[3]
Below is an optimized crystal structure of CaTh6Sb8, with properties calculated at the GGA-PBE level.

```
CaTh6Sb8
1.0
4.722 2.726 6.352
-4.722 2.726 6.352
0.000 -5.452 6.352
Ca Th Sb
1 6 8
Cartesian
0.000 0.000 0.000
-1.862 -2.365 7.832
-2.979 0.430 11.224
-1.117 2.795 7.832
1.117 -2.795 11.224
2.979 -0.430 7.832
1.862 2.365 11.224
-3.351 0.490 8.069
-2.100 -2.657 10.986
0.000 0.000 6.407
1.251 -3.147 8.069
-1.251 3.147 10.986
0.000 0.000 12.648
2.100 2.657 8.069
3.351 -0.490 10.986
```

Properties
As for the density of states at the Fermi level: 7.8 states/eV/f.u. For the raw formation energy, the calculation gives -0.82 eV per atom. The value obtained for the density is 8.1 g cm⁻³.


[4]
Below is an optimized crystal structure of Ca3TmTh2Sb6, with properties calculated at the GGA-PBE level.

```
Ca3TmTh2Sb6
1.0
3.900 -6.757 0.000
3.900 6.757 0.000
-2.605 0.000 7.366
Ca Tm Th Sb
3 1 2 6
Cartesian
0.000 0.000 0.000
3.900 2.291 0.000
3.900 -2.291 0.000
2.597 0.000 3.683
2.597 4.513 3.683
2.597 -4.513 3.683
1.324 2.213 1.905
0.045 0.000 5.481
1.324 -2.213 1.905
3.870 2.213 5.461
5.149 0.000 1.885
3.870 -2.213 5.461
```

Properties
As for the density of states at the Fermi level: 6.6 states/eV/f.u. For the raw formation energy, the calculation gives -0.96 eV per atom. The value obtained for the density is 6.3 g cm⁻³.


[5]
Below is an optimized crystal structure of Ca2TmThSb4, with properties calculated at the GGA-PBE level.

```
Ca2TmThSb4
1.0
7.719 0.000 0.000
0.000 4.494 0.000
-2.607 0.000 7.388
Ca Tm Th Sb
2 1 1 4
Cartesian
0.000 0.000 0.000
3.860 2.247 0.000
-1.304 2.247 3.694
2.556 0.000 3.694
-0.072 0.000 5.453
1.229 2.247 1.899
3.883 2.247 5.489
5.184 0.000 1.935
```

Properties
As for the density of states at the Fermi level: 5.4 states/eV/f.u. For the raw formation energy, the calculation gives -0.94 eV per atom. The value obtained for the density is 6.3 g cm⁻³.


[6]
Below is an optimized crystal structure of Ca2ThUSb4, with properties calculated at the GGA-PBE level.

```
Ca2ThUSb4
1.0
7.780 0.000 0.000
0.000 4.513 0.000
-2.612 0.000 7.354
Ca Th U Sb
2 1 1 4
Cartesian
0.000 0.000 0.000
-1.306 2.257 3.677
2.584 0.000 3.677
3.890 2.257 0.000
1.364 2.257 1.812
0.056 0.000 5.589
5.111 0.000 1.765
3.803 2.257 5.542
```

Properties
As for the density of states at the Fermi level: 6.7 states/eV/f.u. For the raw formation energy, the calculation gives -0.77 eV per atom. The value obtained for the density is 6.7 g cm⁻³.


[7]
Below is an optimized crystal structure of CaYTh2Sb4, with properties calculated at the GGA-PBE level.

```
CaYTh2Sb4
1.0
7.713 0.000 0.000
0.000 4.496 0.000
-2.614 0.000 7.347
Ca Y Th Sb
1 1 2 4
Cartesian
0.000 0.000 0.000
-1.307 2.248 3.674
2.550 0.000 3.674
3.857 2.248 0.000
-0.063 0.000 5.483
1.257 2.248 1.850
3.842 2.248 5.497
5.162 0.000 1.865
```

Properties
As for the density of states at the Fermi level: 1.9 states/eV/f.u. For the raw formation energy, the calculation gives -1.02 eV per atom. The value obtained for the density is 7.0 g cm⁻³.


[8]
Below is an optimized crystal structure of CaY2ThSb4, with properties calculated at the GGA-PBE level.

```
CaY2ThSb4
1.0
0.000 6.326 4.459
4.458 0.000 4.459
4.458 6.326 0.000
Ca Y Th Sb
1 2 1 4
Cartesian
0.000 0.000 0.000
2.229 3.163 2.239
6.687 9.489 6.698
4.458 6.326 4.466
6.683 6.326 2.233
4.458 3.180 4.469
2.233 6.326 2.233
4.458 9.472 4.469
```

Properties
As for the density of states at the Fermi level: 1.4 states/eV/f.u. For the raw formation energy, the calculation gives -1.08 eV per atom. The value obtained for the density is 6.2 g cm⁻³.


raw formation energy of number 6 (Ca2ThUSb4)? -0.77 eV per atom


raw formation energy of number 2 (CaTh3Sb4)? -0.96 eV per atom


What is the raw formation energy in the third record? -0.82 eV per atom